Tb3HoEr7 | GGA-PBE | relaxed

space-group type = No. 12
size of the total moment = 0.38 μB per formula unit
distance to the lowest polymorph of the same formula = 126.5 meV/atom
N(E_F) = 15.5 states/eV per cell
calculated volume = 351 Å³ per cell
calculated formation energy = 0.282 eV/atom

Cell: 5.739 8.329 8.329 Å, 83.25 110.18 110.18°
Sites, in units of the cell vectors:
Er  0.000  0.500  0.500
Er  0.792  0.793  0.793
Er  0.704  0.401  0.006
Ho  0.500  0.500  0.500
Tb  0.500  0.000  0.000
Er  0.208  0.207  0.207
Tb  0.000  0.209  0.791
Tb  0.000  0.791  0.209
Er  0.296  0.994  0.599
Er  0.296  0.599  0.994
Er  0.704  0.006  0.401

AcLa6Er | GGA-PBE | relaxed

space-group type = No. 123
size of the total moment = 0.00 μB per formula unit
N(E_F) = 15.1 states/eV per cell
calculated volume = 295 Å³ per cell
calculated formation energy = 0.019 eV/atom

Cell: 5.279 5.279 10.568 Å, 90.00 90.00 90.00°
Sites, in units of the cell vectors:
Ac  0.000  0.000  0.000
La  0.000  0.500  0.743
La  0.500  0.000  0.743
La  0.000  0.500  0.257
Er  0.000  0.000  0.500
La  0.500  0.000  0.257
La  0.500  0.500  0.500
La  0.500  0.500  0.000